The following is a DFT calculation (GGA-PBE) of Dy2Y2TmLu2Ni2Te2 after structural relaxation.

Structure (CIF):
```
data_Dy2Y2TmLu2Ni2Te2
_space_group_name_H-M_alt 'I m m 2'
_space_group_IT_number 44
_cell_length_a 3.835
_cell_length_b 15.524
_cell_length_c 9.526
_cell_angle_alpha 90.00
_cell_angle_beta 90.00
_cell_angle_gamma 90.00
loop_
_space_group_symop_operation_xyz
'x,y,z'
'-x,-y,z'
'-x,y,z'
'x,-y,z'
'x+1/2,y+1/2,z+1/2'
'-x+1/2,-y+1/2,z+1/2'
'-x+1/2,y+1/2,z+1/2'
'x+1/2,-y+1/2,z+1/2'
loop_
_atom_site_label
_atom_site_type_symbol
_atom_site_fract_x
_atom_site_fract_y
_atom_site_fract_z
_atom_site_occupancy
Dy1 Dy 0.000 0.132 0.000 1
Y1 Y 0.000 0.353 0.851 1
Tm1 Tm 0.000 0.000 0.583 1
Lu1 Lu 0.000 0.315 0.201 1
Ni1 Ni 0.000 0.238 0.511 1
Te1 Te 0.000 0.000 0.247 1
Te2 Te 0.000 0.500 0.345 1
```

The following is a DFT calculation (GGA-PBE) of Dy2Y2TmLu2Ni2Te2 after structural relaxation.

Structure (CIF):
```
data_Dy2Y2TmLu2Ni2Te2
_space_group_name_H-M_alt 'I m m 2'
_space_group_IT_number 44
_cell_length_a 3.824
_cell_length_b 15.524
_cell_length_c 9.604
_cell_angle_alpha 90.00
_cell_angle_beta 90.00
_cell_angle_gamma 90.00
loop_
_space_group_symop_operation_xyz
'x,y,z'
'-x,-y,z'
'-x,y,z'
'x,-y,z'
'x+1/2,y+1/2,z+1/2'
'-x+1/2,-y+1/2,z+1/2'
'-x+1/2,y+1/2,z+1/2'
'x+1/2,-y+1/2,z+1/2'
loop_
_atom_site_label
_atom_site_type_symbol
_atom_site_fract_x
_atom_site_fract_y
_atom_site_fract_z
_atom_site_occupancy
Dy1 Dy 0.000 0.132 0.000 1
Y1 Y 0.000 0.315 0.202 1
Tm1 Tm 0.000 0.000 0.578 1
Lu1 Lu 0.000 0.354 0.854 1
Ni1 Ni 0.000 0.236 0.503 1
Te1 Te 0.000 0.000 0.246 1
Te2 Te 0.000 0.500 0.343 1
```

The following is a DFT calculation (GGA-PBE) of DyY2Lu4Ni2Te2 after structural relaxation.

Structure (CIF):
```
data_DyY2Lu4Ni2Te2
_space_group_name_H-M_alt 'I m m 2'
_space_group_IT_number 44
_cell_length_a 3.824
_cell_length_b 15.407
_cell_length_c 9.472
_cell_angle_alpha 90.00
_cell_angle_beta 90.00
_cell_angle_gamma 90.00
loop_
_space_group_symop_operation_xyz
'x,y,z'
'-x,-y,z'
'-x,y,z'
'x,-y,z'
'x+1/2,y+1/2,z+1/2'
'-x+1/2,-y+1/2,z+1/2'
'-x+1/2,y+1/2,z+1/2'
'x+1/2,-y+1/2,z+1/2'
loop_
_atom_site_label
_atom_site_type_symbol
_atom_site_fract_x
_atom_site_fract_y
_atom_site_fract_z
_atom_site_occupancy
Dy1 Dy 0.000 0.000 0.000 1
Y1 Y 0.000 0.132 0.419 1
Lu1 Lu 0.000 0.314 0.620 1
Lu2 Lu 0.000 0.352 0.272 1
Ni1 Ni 0.000 0.236 0.929 1
Te1 Te 0.000 0.000 0.667 1
Te2 Te 0.000 0.500 0.763 1
```

The following is a DFT calculation (GGA-PBE) of DyY2Lu4Ni2Te2 after structural relaxation.

Structure (CIF):
```
data_DyY2Lu4Ni2Te2
_space_group_name_H-M_alt 'I m m 2'
_space_group_IT_number 44
_cell_length_a 3.816
_cell_length_b 15.366
_cell_length_c 9.487
_cell_angle_alpha 90.00
_cell_angle_beta 90.00
_cell_angle_gamma 90.00
loop_
_space_group_symop_operation_xyz
'x,y,z'
'-x,-y,z'
'-x,y,z'
'x,-y,z'
'x+1/2,y+1/2,z+1/2'
'-x+1/2,-y+1/2,z+1/2'
'-x+1/2,y+1/2,z+1/2'
'x+1/2,-y+1/2,z+1/2'
loop_
_atom_site_label
_atom_site_type_symbol
_atom_site_fract_x
_atom_site_fract_y
_atom_site_fract_z
_atom_site_occupancy
Dy1 Dy 0.000 0.000 0.000 1
Y1 Y 0.000 0.315 0.624 1
Lu1 Lu 0.000 0.133 0.420 1
Lu2 Lu 0.000 0.352 0.272 1
Ni1 Ni 0.000 0.239 0.927 1
Te1 Te 0.000 0.000 0.664 1
Te2 Te 0.000 0.500 0.769 1
```

The following is a DFT calculation (GGA-PBE) of Dy2YLu4Ni2Te2 after structural relaxation.

Structure (CIF):
```
data_Dy2YLu4Ni2Te2
_space_group_name_H-M_alt 'I m m 2'
_space_group_IT_number 44
_cell_length_a 3.827
_cell_length_b 15.431
_cell_length_c 9.491
_cell_angle_alpha 90.00
_cell_angle_beta 90.00
_cell_angle_gamma 90.00
loop_
_space_group_symop_operation_xyz
'x,y,z'
'-x,-y,z'
'-x,y,z'
'x,-y,z'
'x+1/2,y+1/2,z+1/2'
'-x+1/2,-y+1/2,z+1/2'
'-x+1/2,y+1/2,z+1/2'
'x+1/2,-y+1/2,z+1/2'
loop_
_atom_site_label
_atom_site_type_symbol
_atom_site_fract_x
_atom_site_fract_y
_atom_site_fract_z
_atom_site_occupancy
Dy1 Dy 0.000 0.133 0.000 1
Y1 Y 0.000 0.000 0.581 1
Lu1 Lu 0.000 0.314 0.202 1
Lu2 Lu 0.000 0.352 0.852 1
Ni1 Ni 0.000 0.236 0.510 1
Te1 Te 0.000 0.000 0.248 1
Te2 Te 0.000 0.500 0.345 1
```

The following is a DFT calculation (GGA-PBE) of Dy2YLu4Ni2Te2 after structural relaxation.

Structure (CIF):
```
data_Dy2YLu4Ni2Te2
_space_group_name_H-M_alt 'I m m 2'
_space_group_IT_number 44
_cell_length_a 3.815
_cell_length_b 15.404
_cell_length_c 9.451
_cell_angle_alpha 90.00
_cell_angle_beta 90.00
_cell_angle_gamma 90.00
loop_
_space_group_symop_operation_xyz
'x,y,z'
'-x,-y,z'
'-x,y,z'
'x,-y,z'
'x+1/2,y+1/2,z+1/2'
'-x+1/2,-y+1/2,z+1/2'
'-x+1/2,y+1/2,z+1/2'
'x+1/2,-y+1/2,z+1/2'
loop_
_atom_site_label
_atom_site_type_symbol
_atom_site_fract_x
_atom_site_fract_y
_atom_site_fract_z
_atom_site_occupancy
Dy1 Dy 0.000 0.186 0.000 1
Y1 Y 0.000 0.500 0.378 1
Lu1 Lu 0.000 0.147 0.648 1
Lu2 Lu 0.000 0.367 0.797 1
Ni1 Ni 0.000 0.261 0.305 1
Te1 Te 0.000 0.000 0.147 1
Te2 Te 0.000 0.500 0.040 1
```

The following is a DFT calculation (GGA-PBE) of DyY2Lu4Ni2Te2 after structural relaxation.

Structure (CIF):
```
data_DyY2Lu4Ni2Te2
_space_group_name_H-M_alt 'I m m 2'
_space_group_IT_number 44
_cell_length_a 3.838
_cell_length_b 15.425
_cell_length_c 9.431
_cell_angle_alpha 90.00
_cell_angle_beta 90.00
_cell_angle_gamma 90.00
loop_
_space_group_symop_operation_xyz
'x,y,z'
'-x,-y,z'
'-x,y,z'
'x,-y,z'
'x+1/2,y+1/2,z+1/2'
'-x+1/2,-y+1/2,z+1/2'
'-x+1/2,y+1/2,z+1/2'
'x+1/2,-y+1/2,z+1/2'
loop_
_atom_site_label
_atom_site_type_symbol
_atom_site_fract_x
_atom_site_fract_y
_atom_site_fract_z
_atom_site_occupancy
Dy1 Dy 0.000 0.000 0.000 1
Y1 Y 0.000 0.352 0.266 1
Lu1 Lu 0.000 0.134 0.415 1
Lu2 Lu 0.000 0.315 0.620 1
Ni1 Ni 0.000 0.240 0.931 1
Te1 Te 0.000 0.000 0.659 1
Te2 Te 0.000 0.500 0.767 1
```

The following is a DFT calculation (GGA-PBE) of Dy4YLu2Ni2Te2 after structural relaxation.

Structure (CIF):
```
data_Dy4YLu2Ni2Te2
_space_group_name_H-M_alt 'I m m 2'
_space_group_IT_number 44
_cell_length_a 3.825
_cell_length_b 15.516
_cell_length_c 9.533
_cell_angle_alpha 90.00
_cell_angle_beta 90.00
_cell_angle_gamma 90.00
loop_
_space_group_symop_operation_xyz
'x,y,z'
'-x,-y,z'
'-x,y,z'
'x,-y,z'
'x+1/2,y+1/2,z+1/2'
'-x+1/2,-y+1/2,z+1/2'
'-x+1/2,y+1/2,z+1/2'
'x+1/2,-y+1/2,z+1/2'
loop_
_atom_site_label
_atom_site_type_symbol
_atom_site_fract_x
_atom_site_fract_y
_atom_site_fract_z
_atom_site_occupancy
Dy1 Dy 0.000 0.132 0.000 1
Dy2 Dy 0.000 0.314 0.202 1
Y1 Y 0.000 0.000 0.580 1
Lu1 Lu 0.000 0.353 0.852 1
Ni1 Ni 0.000 0.236 0.507 1
Te1 Te 0.000 0.000 0.247 1
Te2 Te 0.000 0.500 0.345 1
```

no.,energy above the most stable polymorph in this dataset (eV per atom)
1,0.000
2,0.018
3,0.005
4,0.023
5,0.003
6,0.018
7,0.000
8,0.017